{
  "formula": "Li4Pm3PuS8",
  "functional": "PBE",
  "state": "optimized geometry",
  "e_form_raw_ev_per_atom": -1.7216,
  "space_group": "R-3m, No. 166",
  "total_energy_ev_per_atom": -6.0503,
  "lattice_angstrom": [[4.017, 2.319, 6.188], [-4.017, 2.319, 6.188], [0.000, -4.638, 6.188]],
  "species": ["Li", "Li", "Li", "Li", "Pm", "Pm", "Pm", "Pu", "S", "S", "S", "S", "S", "S", "S", "S"],
  "frac_coords": [[0.000, 0.000, 0.000], [0.000, 0.500, 0.500], [0.500, 0.000, 0.500], [0.500, 0.500, 0.000], [0.000, 0.000, 0.500], [0.000, 0.500, 0.000], [0.500, 0.000, 0.000], [0.500, 0.500, 0.500], [0.251, 0.251, 0.745], [0.251, 0.745, 0.251], [0.252, 0.252, 0.252], [0.255, 0.749, 0.749], [0.745, 0.251, 0.251], [0.748, 0.748, 0.748], [0.749, 0.255, 0.749], [0.749, 0.749, 0.255]]
}

=====

{
  "formula": "PuPaCuPt",
  "functional": "PBE",
  "state": "optimized geometry",
  "space_group": "F-43m, No. 216",
  "formation_energy_kj_per_mol_fu": -196,
  "relative_energy_ev_per_atom": 0.000,
  "total_energy_ev_per_atom": -8.9995,
  "lattice_angstrom": [[0.000, 3.361, 3.361], [3.361, 0.000, 3.361], [3.361, 3.361, 0.000]],
  "species": ["Pu", "Pa", "Cu", "Pt"],
  "frac_coords": [[0.000, 0.000, 0.000], [0.250, 0.250, 0.250], [0.750, 0.750, 0.750], [0.500, 0.500, 0.500]]
}

=====

{
  "formula": "UTc2Bi",
  "functional": "PBE",
  "state": "optimized geometry",
  "space_group": "P4/mmm, No. 123",
  "formation_energy_kj_per_mol_fu": 68,
  "total_energy_ev_per_atom": -8.8001,
  "lattice_angstrom": [[4.615, 0.000, 0.000], [0.000, 4.615, 0.000], [0.000, 0.000, 3.585]],
  "species": ["U", "Tc", "Tc", "Bi"],
  "frac_coords": [[0.000, 0.000, 0.000], [0.000, 0.500, 0.500], [0.500, 0.000, 0.500], [0.500, 0.500, 0.000]]
}

=====

no.,magnetization (μB per formula unit)
1,5.0
2,6.0
3,0.8